Below is CuRh3 after structural relaxation, with properties calculated at the GGA-PBE level.

Summary:
* energy of formation: 0.10 eV per atom

```
data_CuRh3
_chemical_formula_sum 'Cu2 Rh6'
_cell_length_a 5.3857
_cell_length_b 5.3857
_cell_length_c 4.4031
_cell_angle_alpha 90.00
_cell_angle_beta 90.00
_cell_angle_gamma 120.00
_space_group_name_H-M_alt 'P 63/m m c'
_space_group_IT_number 194
_space_group_name_Hall '-P 6c 2c'
loop_
_atom_site_label
_atom_site_type_symbol
_atom_site_fract_x
_atom_site_fract_y
_atom_site_fract_z
Cu1 Cu 0.3333 0.6667 0.2500
Rh1 Rh 0.1691 0.3382 0.7500
```



Below is Ba2SiTeRh after structural relaxation, with properties calculated at the GGA-PBE level.

Summary:
* formation energy (no corrections): -76 kJ per mole of atoms

```
data_Ba2SiTeRh
_chemical_formula_sum 'Ba2 Si1 Te1 Rh1'
_cell_length_a 6.096
_cell_length_b 6.096
_cell_length_c 4.577
_cell_angle_alpha 90.00
_cell_angle_beta 90.00
_cell_angle_gamma 90.00
_space_group_name_H-M_alt 'P 4/m m m'
_space_group_IT_number 123
_space_group_name_Hall '-P 4 2'
loop_
_atom_site_label
_atom_site_type_symbol
_atom_site_fract_x
_atom_site_fract_y
_atom_site_fract_z
Ba1 Ba 0.000 0.500 0.000
Si1 Si 0.000 0.000 0.500
Te1 Te 0.500 0.500 0.500
Rh1 Rh 0.000 0.000 0.000
```



Below is KLaBr after structural relaxation, with properties calculated at the GGA-PBE level.

Summary:
* energy above the most stable polymorph in this dataset: 464 meV/atom
* formation energy (no corrections): -31 kJ per mole of atoms

```
data_KLaBr
_chemical_formula_sum 'K4 La4 Br4'
_cell_length_a 7.603
_cell_length_b 7.603
_cell_length_c 7.603
_cell_angle_alpha 90.00
_cell_angle_beta 90.00
_cell_angle_gamma 90.00
_space_group_name_H-M_alt 'F -4 3 m'
_space_group_IT_number 216
_space_group_name_Hall 'F -4 2 3'
loop_
_atom_site_label
_atom_site_type_symbol
_atom_site_fract_x
_atom_site_fract_y
_atom_site_fract_z
K1 K 0.000 0.000 0.000
La1 La 0.000 0.000 0.500
Br1 Br 0.250 0.250 0.250
```



Below is Sn3SbIr after structural relaxation, with properties calculated at the GGA-PBE level.

Summary:
* energy above the most stable polymorph in this dataset: 0 meV/atom
* formation energy (no corrections): -9 kJ per mole of atoms

```
data_Sn3SbIr
_chemical_formula_sum 'Sn12 Sb4 Ir4'
_cell_length_a 7.976
_cell_length_b 6.322
_cell_length_c 12.552
_cell_angle_alpha 90.00
_cell_angle_beta 125.83
_cell_angle_gamma 90.00
_space_group_name_H-M_alt 'P 1 21/c 1'
_space_group_IT_number 14
loop_
_space_group_symop_operation_xyz
'x,y,z'
'-x,-y,-z'
'-x,y+1/2,-z+1/2'
'x,-y+1/2,z+1/2'
loop_
_atom_site_label
_atom_site_type_symbol
_atom_site_fract_x
_atom_site_fract_y
_atom_site_fract_z
Sn1 Sn 0.019 0.163 0.352
Sn2 Sn 0.406 0.632 0.778
Sn3 Sn 0.468 0.231 0.935
Sb1 Sb 0.005 0.197 0.103
Ir1 Ir 0.303 0.084 0.061
```



Below is NdHoZn after structural relaxation, with properties calculated at the GGA-PBE level.

Summary:
* energy of formation: 0.03 eV per atom
* energy above the most stable polymorph in this dataset: 232 meV/atom

```
data_NdHoZn
_chemical_formula_sum 'Nd2 Ho2 Zn2'
_cell_length_a 5.007
_cell_length_b 5.007
_cell_length_c 7.102
_cell_angle_alpha 90.00
_cell_angle_beta 90.00
_cell_angle_gamma 90.00
_space_group_name_H-M_alt 'I -4 m 2'
_space_group_IT_number 119
_space_group_name_Hall 'I -4 -2'
loop_
_atom_site_label
_atom_site_type_symbol
_atom_site_fract_x
_atom_site_fract_y
_atom_site_fract_z
Nd1 Nd 0.000 0.000 0.000
Ho1 Ho 0.000 0.000 0.500
Zn1 Zn 0.000 0.500 0.750
```



Below is Zr2N2O after structural relaxation, with properties calculated at the GGA-PBE level.

Summary:
* formation energy (no corrections): -191 kJ per mole of atoms

```
data_Zr2N2O
_chemical_formula_sum 'Zr24 N24 O12'
_cell_length_a 9.663
_cell_length_b 5.554
_cell_length_c 14.777
_cell_angle_alpha 90.00
_cell_angle_beta 90.12
_cell_angle_gamma 90.00
_space_group_name_H-M_alt 'C 1 2/c 1'
_space_group_IT_number 15
loop_
_space_group_symop_operation_xyz
'x,y,z'
'-x,-y,-z'
'-x,y,-z+1/2'
'x,-y,z+1/2'
'x+1/2,y+1/2,z'
'-x+1/2,-y+1/2,-z'
'-x+1/2,y+1/2,-z+1/2'
'x+1/2,-y+1/2,z+1/2'
loop_
_atom_site_label
_atom_site_type_symbol
_atom_site_fract_x
_atom_site_fract_y
_atom_site_fract_z
Zr1 Zr 0.001 0.005 0.142
Zr2 Zr 0.176 0.499 0.475
Zr3 Zr 0.177 0.496 0.691
N1 N 0.148 0.147 0.248
N2 N 0.161 0.204 0.582
N3 N 0.187 0.150 0.915
O1 O 0.000 0.306 0.750
O2 O 0.011 0.348 0.082
```



| no. | ρ (g/cm3) | E (eV/cell) | total moment (μB per formula unit) |
| --- | --- | --- | --- |
| 1 | 11.18 | -51.54 | 0.43 |
| 2 | 5.21 | -23.72 | 0.00 |
| 3 | 3.90 | -34.65 | 1.01 |
| 4 | 8.67 | -101.85 | 0.00 |
| 5 | 6.99 | -21.06 | 0.00 |
| 6 | 5.69 | -583.04 | 0.00 |